A relaxed structure of Zr4CoNiC2, computed with PBE.

Geometry as CIF:
```
data_Zr4CoNiC2
_chemical_formula_sum 'Zr4 Co1 Ni1 C2'
_space_group_name_H-M_alt 'P -6 m 2'
_space_group_IT_number 187
_space_group_name_Hall 'P -6 2'
_cell_length_a 3.3030
_cell_length_b 3.3030
_cell_length_c 13.1017
_cell_angle_alpha 90.00
_cell_angle_beta 90.00
_cell_angle_gamma 120.00
loop_
_atom_site_label
_atom_site_type_symbol
_atom_site_fract_x
_atom_site_fract_y
_atom_site_fract_z
Zr1 Zr 0.0000 0.0000 0.1479
Zr2 Zr 0.3333 0.6667 0.3513
Co1 Co 0.3333 0.6667 0.0000
Ni1 Ni 0.0000 0.0000 0.5000
C1 C 0.6667 0.3333 0.2508
```

Output
The calculated total energy comes out at -8.562 eV per atom.